! NaErTl, optimized geometry, DFT PBE; values from VASP
&SYSTEM
  ibrav = 0, nat = 6, ntyp = 3
/
ATOMIC_SPECIES
Na 22.99 Na.upf
Er 167.26 Er.upf
Tl 204.38 Tl.upf
ATOMIC_POSITIONS crystal
Na 0.0000 0.5000 0.0000
Na 0.0000 0.5000 0.5000
Er 0.3332 0.1668 0.7500
Er 0.6668 0.8332 0.2500
Tl 0.6666 0.8334 0.7500
Tl 0.3334 0.1666 0.2500
CELL_PARAMETERS angstrom
5.4699 -0.0013 0.0000
-2.7351 4.7370 0.0000
0.0000 0.0000 6.3224
! relative energy among the computed polymorphs = 0 meV per atom
! SG = P6_3/mmc (194)
! DOS at the Fermi energy = 2.26 states/eV/f.u.
! formation enthalpy at 0 K = -0.124 eV/atom
! crystal system = hexagonal

---

! TaPNF2, optimized geometry, DFT PBE; values from VASP
&SYSTEM
  ibrav = 0, nat = 5, ntyp = 4
/
ATOMIC_SPECIES
P 30.97 P.upf
N 14.01 N.upf
F 19.00 F.upf
Ta 180.95 Ta.upf
ATOMIC_POSITIONS crystal
P 0.0000 0.0000 0.0000
N 0.0000 0.0000 0.5000
F 0.0000 0.5000 0.0000
F 0.5000 0.0000 0.0000
Ta 0.5000 0.5000 0.5000
CELL_PARAMETERS angstrom
-0.2627 3.9618 -2.3778
-0.0165 -2.3824 -3.9677
-3.2150 -0.1508 0.1039
! ΔE_f (raw) = 0.320 eV/atom
! relative energy among the computed polymorphs = 1024 meV per atom
! SG = P4/mmm (123)
! DOS at the Fermi energy = 2.85 states/eV/f.u.
! crystal system = tetragonal

---

! ErNiAs2Rh2, optimized geometry, DFT PBE; values from VASP
&SYSTEM
  ibrav = 0, nat = 6, ntyp = 4
/
ATOMIC_SPECIES
Er 167.26 Er.upf
Ni 58.69 Ni.upf
As 74.92 As.upf
Rh 102.91 Rh.upf
ATOMIC_POSITIONS crystal
Er 0.0000 0.0000 0.5000
Ni 0.0000 0.0000 0.0000
As 0.5000 0.0000 0.0000
As 0.0000 0.5000 0.0000
Rh 0.5000 0.5000 0.7406
Rh 0.5000 0.5000 0.2594
CELL_PARAMETERS angstrom
4.4606 0.0000 0.0000
0.0000 4.4606 0.0000
0.0000 0.0000 5.4347
! SG = P4/mmm (123)
! DOS at the Fermi energy = 3.97 states/eV/f.u.
! formation enthalpy at 0 K = -0.269 eV/atom
! crystal system = tetragonal

---

! Pr8HgPb5, optimized geometry, DFT PBE; values from VASP
&SYSTEM
  ibrav = 0, nat = 14, ntyp = 3
/
ATOMIC_SPECIES
Pr 140.91 Pr.upf
Hg 200.59 Hg.upf
Pb 207.20 Pb.upf
ATOMIC_POSITIONS crystal
Pr 0.1312 0.7521 0.0172
Pr 0.9828 0.1140 0.7349
Pr 0.7607 0.2439 0.3680
Pr 0.6320 0.3928 0.8760
Pr 0.4832 0.6072 0.2393
Pr 0.6209 0.8860 0.8688
Pr 0.2651 0.2479 0.3791
Pr 0.1240 0.7561 0.5168
Hg 0.2500 0.5000 0.7500
Pb 0.0019 0.3763 0.1297
Pb 0.8703 0.8722 0.2466
Pb 0.7534 0.6237 0.6256
Pb 0.5000 0.0000 0.5000
Pb 0.3744 0.1278 0.9981
CELL_PARAMETERS angstrom
-0.6764 -0.8518 -8.3709
-3.2519 -6.7895 3.8186
-4.2060 6.9073 2.4193
! SG = I-4 (82)
! DOS at the Fermi energy = 11.79 states/eV/f.u.
! formation enthalpy at 0 K = -0.526 eV/atom
! crystal system = tetragonal

---

! K2Ag2Au, optimized geometry, DFT PBE; values from VASP
&SYSTEM
  ibrav = 0, nat = 10, ntyp = 3
/
ATOMIC_SPECIES
K 39.10 K.upf
Au 196.97 Au.upf
Ag 107.87 Ag.upf
ATOMIC_POSITIONS crystal
K 0.3066 0.8066 0.0000
K 0.8066 0.6934 0.0000
K 0.6934 0.1934 0.0000
K 0.1934 0.3066 0.0000
Au 0.0000 0.0000 0.0000
Au 0.5000 0.5000 0.0000
Ag 0.0997 0.5997 0.5000
Ag 0.5997 0.9003 0.5000
Ag 0.9003 0.4003 0.5000
Ag 0.4003 0.0997 0.5000
CELL_PARAMETERS angstrom
-3.9618 -8.3524 -3.5760
8.7560 -4.5512 0.9297
-0.7333 -0.8428 2.7809
! relative energy among the computed polymorphs = 338 meV per atom
! SG = P4/mbm (127)
! DOS at the Fermi energy = 1.64 states/eV/f.u.
! formation enthalpy at 0 K = 0.205 eV/atom
! crystal system = tetragonal

---

! LaDy3Er2, optimized geometry, DFT PBE; values from VASP
&SYSTEM
  ibrav = 0, nat = 12, ntyp = 3
/
ATOMIC_SPECIES
La 138.91 La.upf
Dy 162.50 Dy.upf
Er 167.26 Er.upf
ATOMIC_POSITIONS crystal
La 0.2208 0.4415 0.2500
La 0.7792 0.5585 0.7500
Dy 0.6647 0.3293 0.9964
Dy 0.1078 0.2155 0.7500
Dy 0.6647 0.3293 0.5036
Dy 0.8922 0.7845 0.2500
Dy 0.3353 0.6707 0.0036
Dy 0.3353 0.6707 0.4964
Er 0.0000 0.0000 0.0000
Er 0.0000 0.0000 0.5000
Er 0.5537 0.1074 0.2500
Er 0.4463 0.8926 0.7500
CELL_PARAMETERS angstrom
3.5857 0.0000 0.0000
-1.7929 9.2978 0.0000
0.0000 0.0000 11.5714
! SG = Cmcm (63)
! DOS at the Fermi energy = 8.36 states/eV/f.u.
! formation enthalpy at 0 K = 0.021 eV/atom
! crystal system = orthorhombic

---

! NpRu2Rh, optimized geometry, DFT PBE; values from VASP
&SYSTEM
  ibrav = 0, nat = 4, ntyp = 3
/
ATOMIC_SPECIES
Np 237.00 Np.upf
Ru 101.07 Ru.upf
Rh 102.91 Rh.upf
ATOMIC_POSITIONS crystal
Np 0.5000 0.5000 0.5000
Ru 0.7744 0.7744 0.6767
Ru 0.2256 0.2256 0.3233
Rh 0.0000 0.0000 0.0000
CELL_PARAMETERS angstrom
4.4188 0.0000 0.0000
2.2094 3.8268 0.0000
2.2094 1.2756 3.9207
! SG = R-3m (166)
! DOS at the Fermi energy = 9.57 states/eV/f.u.
! formation enthalpy at 0 K = 0.051 eV/atom
! crystal system = trigonal

---

! ReC2, optimized geometry, DFT PBE; values from VASP
&SYSTEM
  ibrav = 0, nat = 12, ntyp = 2
/
ATOMIC_SPECIES
Re 186.21 Re.upf
C 12.01 C.upf
ATOMIC_POSITIONS crystal
Re 0.3333 0.6667 0.9115
Re 0.6667 0.3333 0.4115
Re 0.6667 0.3333 0.0885
Re 0.3333 0.6667 0.5885
C 0.0000 0.0000 0.0000
C 0.0000 0.0000 0.5000
C 0.8617 0.7235 0.2500
C 0.1383 0.2765 0.7500
C 0.2765 0.1383 0.2500
C 0.8617 0.1383 0.2500
C 0.1383 0.8617 0.7500
C 0.7235 0.8617 0.7500
CELL_PARAMETERS angstrom
-3.4633 0.8167 -0.2542
1.1337 -3.2620 -0.8947
-1.5327 -3.3277 10.1899
! relative energy among the computed polymorphs = 1060 meV per atom
! SG = P6_3/mmc (194)
! DOS at the Fermi energy = 2.84 states/eV/f.u.
! formation enthalpy at 0 K = 1.500 eV/atom
! crystal system = hexagonal

---

! RbCd3Co, optimized geometry, DFT PBE; values from VASP
&SYSTEM
  ibrav = 0, nat = 5, ntyp = 3
/
ATOMIC_SPECIES
Co 58.93 Co.upf
Rb 85.47 Rb.upf
Cd 112.41 Cd.upf
ATOMIC_POSITIONS crystal
Co 0.5000 0.5000 0.5000
Rb 0.0000 0.0000 0.0000
Cd 0.0000 0.5000 0.0000
Cd 0.0000 0.0000 0.5000
Cd 0.5000 0.0000 0.0000
CELL_PARAMETERS angstrom
6.9680 0.0000 0.0000
0.0000 6.9680 0.0000
0.0000 0.0000 6.9680
! relative energy among the computed polymorphs = 1109 meV per atom
! SG = Pm-3m (221)
! DOS at the Fermi energy = 42.77 states/eV/f.u.
! formation enthalpy at 0 K = 1.271 eV/atom
! crystal system = cubic

---

! AlGa2Au, optimized geometry, DFT PBE; values from VASP
&SYSTEM
  ibrav = 0, nat = 4, ntyp = 3
/
ATOMIC_SPECIES
Au 196.97 Au.upf
Al 26.98 Al.upf
Ga 69.72 Ga.upf
ATOMIC_POSITIONS crystal
Au 0.5000 0.5000 0.5000
Al 0.0000 0.0000 0.0000
Ga 0.0898 0.0898 0.7306
Ga 0.9102 0.9102 0.2694
CELL_PARAMETERS angstrom
-1.5251 -0.4123 -2.4866
-1.2569 -2.6088 -0.5417
-9.1624 2.0156 3.5403
! SG = R-3m (166)
! DOS at the Fermi energy = 1.64 states/eV/f.u.
! formation enthalpy at 0 K = 0.014 eV/atom
! crystal system = trigonal

---

! TmHf2O, optimized geometry, DFT PBE; values from VASP
&SYSTEM
  ibrav = 0, nat = 4, ntyp = 3
/
ATOMIC_SPECIES
Tm 168.93 Tm.upf
Hf 178.49 Hf.upf
O 16.00 O.upf
ATOMIC_POSITIONS crystal
Tm 0.0000 0.0000 0.0000
Hf 0.1189 0.1189 0.6432
Hf 0.8811 0.8811 0.3568
O 0.5000 0.5000 0.5000
CELL_PARAMETERS angstrom
3.2623 0.0000 0.0000
1.6311 2.8252 0.0000
1.6311 0.9417 8.6103
! ΔE_f (raw) = -0.834 eV/atom
! SG = R-3m (166)
! DOS at the Fermi energy = 4.27 states/eV/f.u.
! crystal system = trigonal

---

! CaMn2Be, optimized geometry, DFT PBE; values from VASP
&SYSTEM
  ibrav = 0, nat = 4, ntyp = 3
/
ATOMIC_SPECIES
Be 9.01 Be.upf
Ca 40.08 Ca.upf
Mn 54.94 Mn.upf
ATOMIC_POSITIONS crystal
Be 0.0000 0.5779 0.4216
Ca 0.5000 0.7540 0.7464
Mn 0.0000 0.9237 0.0766
Mn 0.5000 0.2445 0.2554
CELL_PARAMETERS angstrom
-0.3913 -2.5947 -1.3000
-0.0172 -1.3096 2.6190
-6.7391 -0.4821 2.9908
! SG = P4mm (99)
! DOS at the Fermi energy = 3.31 states/eV/f.u.
! formation enthalpy at 0 K = 0.313 eV/atom
! crystal system = tetragonal